# 1
PBE BaPr2WN4, optimized geometry; space group = Cmcm, No. 63; raw total energy = -8.13 eV per atom
1.0
-2.9338 1.2540 1.6998
-1.9632 -5.6293 -3.0797
3.0694 -6.6544 10.2067
Pr N Ba W
4 8 2 2
direct
0.6291 0.2581 0.0365
0.3709 0.7419 0.5365
0.6291 0.2581 0.4635
0.3709 0.7419 0.9635
0.7406 0.4813 0.8753
0.7406 0.4813 0.6247
0.6085 0.2171 0.2500
0.2594 0.5187 0.3753
0.3915 0.7829 0.7500
0.0000 0.0000 0.5000
0.2594 0.5187 0.1247
0.0000 0.0000 0.0000
0.0818 0.1635 0.7500
0.9182 0.8365 0.2500
0.1800 0.3600 0.2500
0.8200 0.6400 0.7500

# 2
PBE NdHoCuRu, optimized geometry; space group = Amm2, No. 38; E_form = -0.24 eV/atom
1.0
-1.1876 -3.5344 -0.2008
3.6472 -1.0944 -2.3089
3.1182 0.6627 4.6115
Ho Cu Ru Nd
1 1 1 1
direct
0.8626 0.5000 0.7253
0.5713 0.5000 0.1426
0.4205 0.0000 0.8410
0.1456 0.0000 0.2911

# 3
PBE AsRuRh2, optimized geometry; space group = Immm, No. 71; E_form = -0.01 eV/atom
1.0
-4.4998 -2.1125 -0.8265
0.0314 -4.6280 -1.9937
1.6129 2.7348 3.9132
Rh As Ru
2 1 1
direct
0.0301 0.0301 0.0000
0.4699 0.4699 0.0000
0.2500 0.7500 0.5000
0.7500 0.2500 0.5000

# 4
PBE TaHg2Cl, optimized geometry; space group = Immm, No. 71; raw total energy = -3.30 eV per atom
1.0
-5.1142 4.0923 4.0019
-6.9308 -0.7273 3.2175
7.3980 -1.4862 -1.4062
Hg Cl Ta
2 1 1
direct
0.5656 0.5656 0.0000
0.9344 0.9344 0.0000
0.2500 0.7500 0.5000
0.7500 0.2500 0.5000